PRh3S: optimized geometry, GGA-PBE.

Unit cell a=4.398 b=4.398 c=4.398 alpha=90.00 beta=90.00 gamma=90.00
Space group Pm-3m (No. 221)
Inequivalent atoms, fractional coordinates:
P  0.000  0.000  0.000 [1 per cell]
Rh  0.000  0.000  0.500 [3 per cell]
S  0.500  0.500  0.500 [1 per cell]

Computed properties:
For the distance to the lowest polymorph of the same formula, the calculation gives 0.000 eV/atom. Its density of states at the Fermi level is 1.075 states/eV/atom. As for the calculated density: 7.257 g cm⁻³. Its crystal system is cubic. The uncorrected formation energy comes out at 0.371 eV per atom.